Density functional theory data (PBE) for Tb6DyAl after structural relaxation.

Geometry as extended XYZ:
```
8
Lattice="4.8656 0.0000 0.0000 0.0000 4.8656 0.0000 0.0000 0.0000 9.9660" Properties=species:S:1:pos:R:3 pbc="T T T"
Tb 0.0000 0.0000 0.0000
Tb 0.0000 0.0000 4.9830
Tb 0.0000 2.4328 2.3835
Tb 0.0000 2.4328 7.5825
Tb 2.4328 0.0000 2.3835
Tb 2.4328 0.0000 7.5825
Dy 2.4328 2.4328 4.9830
Al 2.4328 2.4328 0.0000
```

Properties
* E: -36.66 eV per cell

=====

Density functional theory data (PBE) for LiZnGe after structural relaxation.

Geometry as extended XYZ:
```
3
Lattice="4.2910 0.0000 0.0000 -2.1455 3.7162 0.0000 0.0000 0.0000 3.1784" Properties=species:S:1:pos:R:3 pbc="T T T"
Li 0.0000 0.0000 0.0000
Zn 0.0000 2.4774 1.5892
Ge 2.1455 1.2387 1.5892
```

Properties
* E: -8.36 eV per cell

=====

Density functional theory data (PBE) for CdNiPAu2 after structural relaxation.

Geometry as extended XYZ:
```
5
Lattice="4.7552 0.0000 0.0000 0.0000 4.7552 0.0000 0.0000 0.0000 4.7575" Properties=species:S:1:pos:R:3 pbc="T T T"
Cd 0.0000 0.0000 0.0000
Ni 0.0000 0.0000 2.3787
P 2.3776 2.3776 0.0000
Au 0.0000 2.3776 2.3787
Au 2.3776 0.0000 2.3787
```

Properties
* E: -14.50 eV per cell

=====

Density functional theory data (PBE) for SiPPdO2 after structural relaxation.

Geometry as extended XYZ:
```
5
Lattice="3.8688 0.0000 0.0000 0.0000 3.8688 0.0000 0.0000 0.0000 4.9090" Properties=species:S:1:pos:R:3 pbc="T T T"
Si 0.0000 0.0000 0.0000
P 1.9344 1.9344 0.0000
Pd 1.9344 1.9344 2.4545
O 0.0000 1.9344 2.4545
O 1.9344 0.0000 2.4545
```

Properties
* formation energy without anion corrections: 0.382 eV per atom
* E: -24.03 eV per cell
* excess energy over the best structure of this formula in the dataset: 1275 meV per atom